Record 1
## SmAl2Ag3 (PBE-GGA)

Data for an optimized crystal structure of SmAl2Ag3.

Summary:
Energy of formation from the pure elements, eV/atom: -0.237
Uncorrected energy, eV per atom: -3.6962

a b c (Å): 10.041 8.571 5.636
angles (deg): 90.00 90.00 90.00
Space group Cmcm (No. 63)
Unique sites:
Sm: 0.000 0.157 0.250 [4 per cell]
Al: 0.224 0.500 0.000 [8 per cell]
Ag: 0.000 0.478 0.750 [4 per cell]
Ag: 0.164 0.218 0.750 [8 per cell]

---

Record 2
## SmAl4Ag6 (PBE-GGA)

Data for an optimized crystal structure of SmAl4Ag6.

Summary:
Energy of formation from the pure elements, eV/atom: -0.188
Uncorrected energy, eV per atom: -3.5329

a b c (Å): 7.4388 7.4388 4.3130
angles (deg): 90.00 90.00 120.00
Space group P-6m2 (No. 187)
Unique sites:
Sm: 0.0000 0.0000 0.0000 [1 per cell]
Al: 0.3333 0.6667 0.0000 [1 per cell]
Al: 0.3998 0.1999 0.5000 [3 per cell]
Ag: 0.2017 0.4035 0.5000 [3 per cell]
Ag: 0.5355 0.0710 0.0000 [3 per cell]

---

Record 3
## Sm3Al3Ag8 (PBE-GGA)

Data for an optimized crystal structure of Sm3Al3Ag8.

Summary:
Energy of formation from the pure elements, eV/atom: -0.246
Uncorrected energy, eV per atom: -3.6886

a b c (Å): 4.565 9.975 12.928
angles (deg): 90.00 90.00 90.00
Space group Immm (No. 71)
Unique sites:
Sm: 0.000 0.000 0.000 [2 per cell]
Sm: 0.000 0.000 0.302 [4 per cell]
Al: 0.000 0.193 0.500 [4 per cell]
Al: 0.000 0.500 0.000 [2 per cell]
Ag: 0.000 0.290 0.123 [8 per cell]
Ag: 0.000 0.362 0.340 [8 per cell]

---

Record 4
## SmAl6Ag4 (PBE-GGA)

Data for an optimized crystal structure of SmAl6Ag4.

Summary:
Energy of formation from the pure elements, eV/atom: -0.042
Uncorrected energy, eV per atom: -3.5495

a b c (Å): 6.717 6.717 9.774
angles (deg): 90.00 90.00 90.00
Space group I-42m (No. 121)
Unique sites:
Sm: 0.000 0.000 0.000 [2 per cell]
Al: 0.000 0.500 0.000 [4 per cell]
Al: 0.210 0.210 0.317 [8 per cell]
Ag: 0.165 0.165 0.596 [8 per cell]

---

- Which of these has the highest uncorrected energy?
  SmAl4Ag6

---

- Look up the energy of formation from the pure elements of the second one.
  -0.188 eV/atom

---

Copy entry 3 word for word.
## Sm3Al3Ag8 (PBE-GGA)

Data for an optimized crystal structure of Sm3Al3Ag8.

Summary:
Energy of formation from the pure elements, eV/atom: -0.246
Uncorrected energy, eV per atom: -3.6886

a b c (Å): 4.565 9.975 12.928
angles (deg): 90.00 90.00 90.00
Space group Immm (No. 71)
Unique sites:
Sm: 0.000 0.000 0.000 [2 per cell]
Sm: 0.000 0.000 0.302 [4 per cell]
Al: 0.000 0.193 0.500 [4 per cell]
Al: 0.000 0.500 0.000 [2 per cell]
Ag: 0.000 0.290 0.123 [8 per cell]
Ag: 0.000 0.362 0.340 [8 per cell]